[1]
First-principles (SCAN) data for a crystal of Fe3SiNi relaxed with PBEsol, as listed in Alexandria.

Values from the calculation:
- VASP energy (eV/atom) = -16.419

Lattice parameters (Å, degrees): 6.0057 6.0057 6.0057 90.00 90.00 90.00
With the nearest neighbours (Å) after each atom.
Fractional coordinates of all 20 atoms:
Fe 0.1237 0.2047 0.4532  3 Si 2.42-2.56, 3 Ni 2.45-2.54, 6 Fe 2.52-2.53
Fe 0.3763 0.7953 0.9532  3 Si 2.42-2.56, 3 Ni 2.45-2.54, 6 Fe 2.52-2.53
Fe 0.8763 0.7047 0.0468  3 Si 2.42-2.56, 3 Ni 2.45-2.54, 6 Fe 2.52-2.53
Fe 0.4532 0.1237 0.2047  3 Si 2.42-2.56, 3 Ni 2.45-2.54, 6 Fe 2.52-2.53
Fe 0.6237 0.2953 0.5468  3 Si 2.42-2.56, 3 Ni 2.45-2.54, 6 Fe 2.52-2.53
Fe 0.9532 0.3763 0.7953  3 Si 2.42-2.56, 3 Ni 2.45-2.54, 6 Fe 2.52-2.53
Fe 0.0468 0.8763 0.7047  3 Si 2.42-2.56, 3 Ni 2.45-2.54, 6 Fe 2.52-2.53
Fe 0.5468 0.6237 0.2953  3 Si 2.42-2.56, 3 Ni 2.45-2.54, 6 Fe 2.52-2.53
Fe 0.2047 0.4532 0.1237  3 Si 2.42-2.56, 3 Ni 2.45-2.54, 6 Fe 2.52-2.53
Fe 0.7047 0.0468 0.8763  3 Si 2.42-2.56, 3 Ni 2.45-2.54, 6 Fe 2.52-2.53
Fe 0.2953 0.5468 0.6237  3 Si 2.42-2.56, 3 Ni 2.45-2.54, 6 Fe 2.52-2.53
Fe 0.7953 0.9532 0.3763  3 Si 2.42-2.56, 3 Ni 2.45-2.54, 6 Fe 2.52-2.53
Si 0.0625 0.0625 0.0625  3 Ni 2.25, 3 Fe 2.42
Si 0.4375 0.9375 0.5625  3 Ni 2.25, 3 Fe 2.42
Si 0.9375 0.5625 0.4375  3 Ni 2.25, 3 Fe 2.42
Si 0.5625 0.4375 0.9375  3 Ni 2.25, 3 Fe 2.42
Ni 0.6863 0.6863 0.6863  3 Si 2.25, 3 Fe 2.45
Ni 0.8137 0.3137 0.1863  3 Si 2.25, 3 Fe 2.45
Ni 0.3137 0.1863 0.8137  3 Si 2.25, 3 Fe 2.45
Ni 0.1863 0.8137 0.3137  3 Si 2.25, 3 Fe 2.45

[2]
First-principles (SCAN) data for a crystal of LiEuAs relaxed with PBEsol, as listed in Alexandria.

Values from the calculation:
- VASP energy (eV/atom) = -26.589

Lattice parameters (Å, degrees): 4.3898 7.2939 7.8042 90.00 90.00 90.00
With the nearest neighbours (Å) after each atom.
Fractional coordinates of all 12 atoms:
Li 0.7500 0.8390 0.9260  4 As 2.61-2.83
Li 0.7500 0.3390 0.5740  4 As 2.61-2.83
Li 0.2500 0.1610 0.0740  4 As 2.61-2.83
Li 0.2500 0.6610 0.4260  4 As 2.61-2.83
Eu 0.7500 0.9917 0.2943  4 Li 3.05-3.34, 5 As 3.05-3.13
Eu 0.7500 0.4917 0.2057  4 Li 3.05-3.34, 5 As 3.05-3.13
Eu 0.2500 0.0083 0.7057  4 Li 3.05-3.34, 5 As 3.05-3.13
Eu 0.2500 0.5083 0.7943  4 Li 3.05-3.34, 5 As 3.05-3.13
As 0.7500 0.7259 0.5959  4 Li 2.61-2.83
As 0.7500 0.2259 0.9041  4 Li 2.61-2.83
As 0.2500 0.2741 0.4041  4 Li 2.61-2.83
As 0.2500 0.7741 0.0959  4 Li 2.61-2.83

[3]
First-principles (SCAN) data for a crystal of ReMo3 relaxed with PBEsol, as listed in Alexandria.

Values from the calculation:
- VASP energy (eV/atom) = -43.594

Lattice parameters (Å, degrees): 3.9344 3.9344 3.9344 90.00 90.00 90.00
With the nearest neighbours (Å) after each atom.
Fractional coordinates of all 4 atoms:
Mo 0.0000 0.0000 0.5000  8 Mo 2.78, 4 Re 2.78
Mo 0.0000 0.5000 0.0000  8 Mo 2.78, 4 Re 2.78
Mo 0.5000 0.0000 0.0000  8 Mo 2.78, 4 Re 2.78
Re 0.5000 0.5000 0.5000  12 Mo 2.78

[4]
First-principles (SCAN) data for a crystal of LiTa2GaC relaxed with PBEsol, as listed in Alexandria.

Values from the calculation:
- VASP energy (eV/atom) = -30.445

Lattice parameters (Å, degrees): 3.7456 4.3519 4.3519 90.00 90.00 90.00
With the nearest neighbours (Å) after each atom.
Fractional coordinates of all 5 atoms:
C 0.5000 0.5000 0.5000  8 Ta 2.87, 4 Ga 3.08
Li 0.0000 0.0000 0.0000  2 Ga 1.87
Ga 0.5000 0.0000 0.0000  2 Li 1.87
Ta 0.0000 0.0000 0.5000  2 Li 2.18
Ta 0.0000 0.5000 0.0000  2 Li 2.18

[5]
First-principles (SCAN) data for a crystal of ScHgMo2 relaxed with PBEsol, as listed in Alexandria.

Values from the calculation:
- VASP energy (eV/atom) = -37.782

Lattice parameters (Å, degrees): 2.7741 5.3180 5.5027 116.03 99.61 100.15
With the nearest neighbours (Å) after each atom.
Fractional coordinates of all 4 atoms:
Hg 0.0000 0.5000 0.0000  2 Sc 2.77, 2 Hg 2.77, 4 Mo 2.87
Mo 0.0000 0.0000 0.5000  4 Mo 2.77, 2 Sc 2.87, 2 Hg 2.87
Mo 0.5000 0.5000 0.5000  4 Mo 2.77, 2 Hg 2.87, 2 Sc 2.87
Sc 0.5000 0.0000 0.0000  2 Hg 2.77, 2 Sc 2.77, 4 Mo 2.87

[6]
First-principles (SCAN) data for a crystal of YFeRe2 relaxed with PBEsol, as listed in Alexandria.

Values from the calculation:
- VASP energy (eV/atom) = -46.763

Lattice parameters (Å, degrees): 2.8180 4.2183 5.7008 90.00 102.70 90.00
With the nearest neighbours (Å) after each atom.
Fractional coordinates of all 4 atoms:
Fe 0.2276 0.5000 0.7893  3 Re 2.45-2.59
Re 0.0151 0.0000 0.0103  4 Re 2.53-2.82, 2 Fe 2.59
Re 0.7541 0.5000 0.1922  1 Fe 2.45, 2 Re 2.53
Y 0.5032 0.0000 0.5082  2 Y 2.82, 4 Fe 2.86-3.12, 4 Re 2.87-2.96

[7]
First-principles (SCAN) data for a crystal of BaVClO3 relaxed with PBEsol, as listed in Alexandria.

Values from the calculation:
- VASP energy (eV/atom) = -16.815

Lattice parameters (Å, degrees): 5.2482 7.3294 10.4372 90.00 90.00 90.00
With the nearest neighbours (Å) after each atom.
Fractional coordinates of all 24 atoms:
Ba 0.7500 0.5963 0.3050  5 O 2.83-2.90, 3 Cl 3.07-3.12
Ba 0.2500 0.4037 0.6950  5 O 2.83-2.90, 3 Cl 3.07-3.12
Ba 0.2500 0.0963 0.1950  5 O 2.83-2.90, 3 Cl 3.07-3.12
Ba 0.7500 0.9037 0.8050  5 O 2.83-2.90, 3 Cl 3.07-3.12
V 0.2500 0.9513 0.5430  3 O 1.63-1.80
V 0.2500 0.5487 0.0430  3 O 1.63-1.80
V 0.7500 0.0487 0.4570  3 O 1.63-1.80
V 0.7500 0.4513 0.9570  3 O 1.63-1.80
Cl 0.7500 0.9223 0.1041  3 O 3.05-3.40, 4 Ba 3.07-3.18
Cl 0.2500 0.4223 0.3959  3 O 3.05-3.40, 4 Ba 3.07-3.18
Cl 0.2500 0.0777 0.8959  3 O 3.05-3.40, 4 Ba 3.07-3.18
Cl 0.7500 0.5777 0.6041  3 O 3.05-3.40, 4 Ba 3.07-3.18
O 0.9916 0.4051 0.0942  2 V 1.80-1.94
O 0.4916 0.9051 0.4058  2 V 1.80-1.94
O 0.5084 0.0949 0.5942  2 V 1.80-1.94
O 0.0084 0.9051 0.4058  2 V 1.80-1.94
O 0.7500 0.2824 0.8559  1 V 1.63
O 0.2500 0.7176 0.1441  1 V 1.63
O 0.4916 0.5949 0.9058  2 V 1.80-1.94
O 0.5084 0.4051 0.0942  2 V 1.80-1.94
O 0.9916 0.0949 0.5942  2 V 1.80-1.94
O 0.7500 0.2176 0.3559  1 V 1.63
O 0.2500 0.7824 0.6441  1 V 1.63
O 0.0084 0.5949 0.9058  2 V 1.80-1.94

[8]
First-principles (SCAN) data for a crystal of SrTaCu2Br relaxed with PBEsol, as listed in Alexandria.

Values from the calculation:
- VASP energy (eV/atom) = -26.636

Lattice parameters (Å, degrees): 4.7910 4.8297 4.8297 90.00 90.00 90.00
With the nearest neighbours (Å) after each atom.
Fractional coordinates of all 5 atoms:
Sr 0.5000 0.5000 0.5000  8 Cu 3.40, 4 Ta 3.42
Cu 0.0000 0.0000 0.5000  2 Br 2.41
Cu 0.0000 0.5000 0.0000  2 Br 2.41
Br 0.0000 0.0000 0.0000  2 Ta 2.40, 4 Cu 2.41
Ta 0.5000 0.0000 0.0000  2 Br 2.40

[9]
First-principles (SCAN) data for a crystal of ZrIn2Hg relaxed with PBEsol, as listed in Alexandria.

Values from the calculation:
- VASP energy (eV/atom) = -41.738

Lattice parameters (Å, degrees): 4.3103 4.4134 4.4134 90.00 90.00 90.00
With the nearest neighbours (Å) after each atom.
Fractional coordinates of all 4 atoms:
Hg 0.5000 0.0000 0.0000  8 In 3.08, 4 Zr 3.12
Zr 0.5000 0.5000 0.5000  8 In 3.08, 4 Hg 3.12
In 0.0000 0.0000 0.5000  4 Zr 3.08, 4 Hg 3.08, 4 In 3.12
In 0.0000 0.5000 0.0000  4 Zr 3.08, 4 Hg 3.08, 4 In 3.12

[10]
First-principles (SCAN) data for a crystal of La2TlCu relaxed with PBEsol, as listed in Alexandria.

Values from the calculation:
- VASP energy (eV/atom) = -43.771

Lattice parameters (Å, degrees): 3.7077 5.0908 6.2793 113.91 107.17 90.00
With the nearest neighbours (Å) after each atom.
Fractional coordinates of all 4 atoms:
Tl 0.4526 0.4526 0.9051  2 Cu 2.74
Cu 0.7674 0.2674 0.5349  2 Tl 2.74
La 0.0368 0.0368 0.0736  2 Cu 3.12, 4 Tl 3.28, 2 La 3.39
La 0.2432 0.7432 0.4864  4 Cu 3.16, 2 La 3.39, 2 Tl 3.41

[11]
First-principles (SCAN) data for a crystal of Ca2MnNbO6 relaxed with PBEsol, as listed in Alexandria.

Values from the calculation:
- VASP energy (eV/atom) = -13.737

Lattice parameters (Å, degrees): 5.3955 5.5519 7.6440 90.00 89.86 90.00
With the nearest neighbours (Å) after each atom.
Fractional coordinates of all 20 atoms:
Ca 0.4881 0.5510 0.2488  6 O 2.33-2.58
Ca 0.0119 0.0510 0.2512  6 O 2.33-2.58
Ca 0.5119 0.4490 0.7512  6 O 2.33-2.58
Ca 0.9881 0.9490 0.7488  6 O 2.33-2.58
Mn 0.0000 0.5000 0.5000  6 O 1.94-2.00
Mn 0.5000 0.0000 0.0000  6 O 1.94-2.00
Nb 0.0000 0.5000 0.0000  6 O 2.00-2.01
Nb 0.5000 0.0000 0.5000  6 O 2.00-2.01
O 0.2027 0.7941 0.4540  1 Mn 2.00, 1 Nb 2.00
O 0.2973 0.2941 0.0460  1 Mn 2.00, 1 Nb 2.00
O 0.7973 0.2059 0.5460  1 Mn 2.00, 1 Nb 2.00
O 0.7027 0.7059 0.9540  1 Mn 2.00, 1 Nb 2.00
O 0.7951 0.2046 0.9532  1 Mn 1.99, 1 Nb 2.01
O 0.7049 0.7046 0.5468  1 Mn 1.99, 1 Nb 2.01
O 0.2049 0.7954 0.0468  1 Mn 1.99, 1 Nb 2.01
O 0.2951 0.2954 0.4532  1 Mn 1.99, 1 Nb 2.01
O 0.5883 0.9738 0.2455  1 Mn 1.94, 1 Nb 2.01
O 0.9117 0.4738 0.2545  1 Mn 1.94, 1 Nb 2.01
O 0.4117 0.0262 0.7545  1 Mn 1.94, 1 Nb 2.01
O 0.0883 0.5262 0.7455  1 Mn 1.94, 1 Nb 2.01

[12]
First-principles (SCAN) data for a crystal of PtW2Se relaxed with PBEsol, as listed in Alexandria.

Values from the calculation:
- VASP energy (eV/atom) = -56.988

Lattice parameters (Å, degrees): 2.8623 4.1028 5.5258 90.00 104.26 90.00
With the nearest neighbours (Å) after each atom.
Fractional coordinates of all 4 atoms:
Pt 0.5000 0.5000 0.0000  2 Se 2.78, 8 W 2.79-2.88, 2 Pt 2.86
Se 0.0000 0.5000 0.5000  4 W 2.53, 2 Pt 2.78
W 0.9115 0.0000 0.7516  2 Se 2.53, 1 W 2.67, 2 Pt 2.79
W 0.0885 0.0000 0.2484  2 Se 2.53, 1 W 2.67, 2 Pt 2.79